Density functional theory data (PBE) for a relaxed LiIn4Ni2Ir crystal.

a = 7.8639 Å, b = 7.8639 Å, c = 7.8639 Å
α = 33.76°, β = 33.76°, γ = 33.76°
Fractional positions:
Li 0.0000 0.0000 0.0000
In 0.1262 0.1262 0.1262
In 0.3746 0.3746 0.3746
In 0.6254 0.6254 0.6254
In 0.8738 0.8738 0.8738
Ni 0.2534 0.2534 0.2534
Ni 0.7466 0.7466 0.7466
Ir 0.5000 0.5000 0.5000

Properties
- D(E_F): 3.89 states/eV per cell
- Crystal system: trigonal
- Formation energy: -120.8 meV per atom